Record 1
YHo4Cd5 PBE optimized geometry; spin magnetization = 0.00 μB/f.u.; space group = P4/mmm; energy of formation from the pure elements = -325 meV per atom
1.0
-0.053 -3.665 -0.682
0.797 0.655 -3.583
18.268 -0.986 3.881
Cd Y Ho
5 1 4
direct
0.500 0.500 0.898
0.500 0.500 0.300
0.500 0.500 0.500
0.500 0.500 0.102
0.500 0.500 0.700
0.000 0.000 0.000
0.000 0.000 0.600
0.000 0.000 0.799
0.000 0.000 0.400
0.000 0.000 0.201

Record 2
Y2Ho3Cd2 PBE optimized geometry; spin magnetization = 0.00 μB/f.u.; space group = Cmmm; polymorph energy (0 for the lowest one) = 0.88 eV/f.u.; energy of formation from the pure elements = -38 meV per atom
1.0
-3.771 -3.013 1.578
1.752 -0.671 2.906
-6.855 7.354 5.831
Cd Ho Y
2 3 2
direct
0.432 0.500 0.137
0.568 0.500 0.863
0.146 0.000 0.708
0.854 0.000 0.292
0.000 0.000 0.000
0.290 0.500 0.420
0.710 0.500 0.580

Record 3
Y7Ho2Cd2 PBE optimized geometry; spin magnetization = 0.00 μB/f.u.; space group = C2/m; energy of formation from the pure elements = -68 meV per atom
1.0
-6.810 2.355 4.421
-1.131 -6.308 -1.136
4.530 -0.734 4.615
Y Ho Cd
7 2 2
direct
0.582 0.858 0.858
0.827 0.126 0.481
0.173 0.874 0.519
0.827 0.481 0.126
0.173 0.519 0.874
0.000 0.000 0.000
0.418 0.142 0.142
0.500 0.683 0.317
0.500 0.317 0.683
0.823 0.619 0.619
0.177 0.381 0.381

Record 4
Y4Ho8Cd PBE optimized geometry; spin magnetization = 0.00 μB/f.u.; space group = C2/m; energy of formation from the pure elements = -1 meV per atom
1.0
-3.678 -3.229 1.442
0.688 -5.793 -2.188
8.996 -10.770 7.858
Ho Cd Y
8 1 4
direct
0.732 0.266 0.270
0.043 0.569 0.345
0.791 0.379 0.040
0.989 0.434 0.589
0.419 0.980 0.182
0.241 0.625 0.894
0.612 0.024 0.751
0.299 0.737 0.664
0.516 0.002 0.967
0.673 0.147 0.508
0.106 0.683 0.105
0.925 0.321 0.828
0.359 0.856 0.426

Record 5
YHo5Cd6 PBE optimized geometry; spin magnetization = 0.00 μB/f.u.; space group = P2/m; energy of formation from the pure elements = -324 meV per atom
1.0
-1.122 3.594 3.683
2.535 -4.629 5.290
6.700 4.853 1.036
Ho Cd Y
5 6 1
direct
0.000 0.500 0.000
0.333 0.000 0.334
0.334 0.500 0.333
0.667 0.000 0.666
0.666 0.500 0.667
0.500 0.251 0.000
0.833 0.749 0.334
0.500 0.749 0.000
0.833 0.251 0.334
0.167 0.251 0.666
0.167 0.749 0.666
0.000 0.000 0.000

Record 6
Y4Ho3Cd PBE optimized geometry; spin magnetization = 0.00 μB/f.u.; space group = P4/mmm; energy of formation from the pure elements = -65 meV per atom
1.0
-1.056 2.015 2.744
-3.404 -0.654 -0.830
0.183 -15.413 11.391
Y Ho Cd
4 3 1
direct
0.000 0.000 0.369
0.000 0.000 0.109
0.000 0.000 0.891
0.000 0.000 0.631
0.500 0.500 0.239
0.500 0.500 0.500
0.500 0.500 0.761
0.500 0.500 0.000

Record 7
Y2HoCd PBE optimized geometry; spin magnetization = 0.60 μB/f.u.; space group = Amm2; polymorph energy (0 for the lowest one) = 0.53 eV/f.u.; energy of formation from the pure elements = -22 meV per atom
1.0
3.530 0.000 0.000
0.000 3.471 0.000
0.000 -1.736 9.802
Y Ho Cd
2 1 1
direct
0.500 0.111 0.222
0.000 0.481 0.961
0.000 0.266 0.532
0.500 0.871 0.742

Record 8
Y4Ho5Cd PBE optimized geometry; spin magnetization = 0.00 μB/f.u.; space group = P4/mmm; polymorph energy (0 for the lowest one) = 0.00 eV/f.u.; energy of formation from the pure elements = -43 meV per atom
1.0
3.556 0.000 0.000
0.000 3.556 0.000
0.000 0.000 24.175
Cd Ho Y
1 5 4
direct
0.000 0.000 0.000
0.500 0.500 0.500
0.500 0.500 0.708
0.500 0.500 0.915
0.500 0.500 0.292
0.500 0.500 0.085
0.000 0.000 0.811
0.000 0.000 0.189
0.000 0.000 0.604
0.000 0.000 0.396

Record 9
Y2HoCd PBE optimized geometry; spin magnetization = 0.00 μB/f.u.; space group = P4/mmm; polymorph energy (0 for the lowest one) = 0.00 eV/f.u.; energy of formation from the pure elements = -153 meV per atom
1.0
3.595 0.000 0.000
0.000 3.595 0.000
0.000 0.000 9.041
Ho Y Cd
1 2 1
direct
0.500 0.500 0.500
0.000 0.000 0.227
0.000 0.000 0.773
0.500 0.500 0.000

Record 10
Y2HoCd PBE optimized geometry; spin magnetization = 0.27 μB/f.u.; space group = Fm-3m; polymorph energy (0 for the lowest one) = 0.52 eV/f.u.; energy of formation from the pure elements = -24 meV per atom
1.0
-0.719 0.619 -5.366
-2.961 -3.627 -2.788
-4.893 1.399 -1.950
Y Cd Ho
2 1 1
direct
0.250 0.250 0.250
0.750 0.750 0.750
0.000 0.000 0.000
0.500 0.500 0.500

Record 11
Y4Ho7Cd PBE optimized geometry; spin magnetization = 0.00 μB/f.u.; space group = P-3m1; energy of formation from the pure elements = 60 meV per atom
1.0
-4.874 -1.931 -1.794
3.034 -2.996 3.538
-6.264 6.057 10.501
Ho Cd Y
7 1 4
direct
0.667 0.333 0.382
0.333 0.667 0.618
0.000 0.000 0.250
0.000 0.000 0.000
0.333 0.667 0.130
0.000 0.000 0.750
0.667 0.333 0.870
0.000 0.000 0.500
0.667 0.333 0.614
0.333 0.667 0.386
0.667 0.333 0.128
0.333 0.667 0.872

Record 12
Y14HoCd PBE optimized geometry; spin magnetization = 0.03 μB/f.u.; space group = Amm2; energy of formation from the pure elements = -20 meV per atom
1.0
-4.231 5.679 -1.308
-2.301 -6.637 -1.588
-4.446 -0.931 10.335
Y Ho Cd
14 1 1
direct
0.167 0.833 0.746
0.830 0.665 0.500
0.167 0.833 0.254
0.335 0.665 0.500
0.165 0.333 0.757
0.667 0.333 0.245
0.330 0.155 0.000
0.845 0.670 0.000
0.335 0.170 0.500
0.165 0.333 0.243
0.667 0.835 0.243
0.667 0.333 0.755
0.667 0.835 0.757
0.834 0.166 0.500
0.328 0.672 0.000
0.833 0.167 0.000

Record 13
YHo2Cd PBE optimized geometry; spin magnetization = 0.38 μB/f.u.; space group = P4/mmm; polymorph energy (0 for the lowest one) = 0.27 eV/f.u.; energy of formation from the pure elements = -89 meV per atom
1.0
4.854 0.000 0.000
0.000 4.833 0.000
0.000 0.000 4.833
Ho Y Cd
2 1 1
direct
0.000 0.500 0.000
0.000 0.000 0.500
0.500 0.500 0.500
0.500 0.000 0.000

Record 14
YHo2Cd8 PBE optimized geometry; spin magnetization = 0.00 μB/f.u.; space group = C2/m; energy of formation from the pure elements = -235 meV per atom
1.0
5.160 -0.076 -1.359
-0.867 5.675 -2.616
-0.286 0.654 8.860
Cd Y Ho
8 1 2
direct
0.146 0.899 0.260
0.115 0.362 0.260
0.299 0.799 0.598
0.885 0.638 0.740
0.854 0.101 0.740
0.701 0.201 0.402
0.252 0.483 0.000
0.748 0.517 0.000
0.500 0.000 0.000
0.312 0.312 0.624
0.688 0.688 0.376

Record 15
Y2HoCd PBE optimized geometry; spin magnetization = 0.72 μB/f.u.; space group = R3m; polymorph energy (0 for the lowest one) = 0.30 eV/f.u.; energy of formation from the pure elements = -78 meV per atom
1.0
-1.518 -3.222 0.641
0.861 -1.842 2.993
-8.201 3.117 6.463
Y Ho Cd
2 1 1
direct
0.256 0.256 0.233
0.078 0.078 0.767
0.500 0.500 0.500
0.666 0.666 0.001

Record 16
Y2HoCd PBE optimized geometry; spin magnetization = 0.00 μB/f.u.; space group = P4/mmm; polymorph energy (0 for the lowest one) = 0.36 eV/f.u.; energy of formation from the pure elements = -62 meV per atom
1.0
4.012 0.000 0.000
0.000 5.365 0.000
0.000 0.000 5.365
Ho Y Cd
1 2 1
direct
0.500 0.500 0.500
0.000 0.000 0.500
0.000 0.500 0.000
0.500 0.000 0.000

Record 17
YHoCd6 PBE optimized geometry; spin magnetization = 0.00 μB/f.u.; space group = Amm2; energy of formation from the pure elements = -285 meV per atom
1.0
4.886 0.000 0.000
0.000 6.510 0.154
0.000 -2.744 5.906
Cd Ho Y
6 1 1
direct
0.000 0.576 0.424
0.500 0.925 0.075
0.000 0.060 0.373
0.500 0.873 0.562
0.000 0.627 0.940
0.500 0.438 0.127
0.000 0.114 0.886
0.500 0.386 0.614

Record 18
YHo2Cd3 PBE optimized geometry; spin magnetization = 0.00 μB/f.u.; space group = P-3m1; energy of formation from the pure elements = -331 meV per atom
1.0
5.277 0.000 0.000
-2.638 4.570 0.000
0.000 0.000 6.484
Y Cd Ho
1 3 2
direct
0.000 0.000 0.000
0.667 0.333 0.833
0.000 0.000 0.500
0.333 0.667 0.167
0.333 0.667 0.665
0.667 0.333 0.335

Record 19
Y2Ho3Cd3 PBE optimized geometry; spin magnetization = 0.00 μB/f.u.; space group = Immm; energy of formation from the pure elements = -235 meV per atom
1.0
3.691 0.000 -0.594
-0.200 5.177 -1.245
-0.037 0.029 11.529
Cd Y Ho
3 2 3
direct
0.116 0.116 0.233
0.000 0.500 0.000
0.884 0.884 0.767
0.733 0.233 0.466
0.267 0.767 0.534
0.622 0.622 0.245
0.378 0.378 0.755
0.500 0.000 0.000

Record 20
Y6Ho3Cd PBE optimized geometry; spin magnetization = 0.00 μB/f.u.; space group = P2_1/m; energy of formation from the pure elements = -18 meV per atom
1.0
-1.834 -4.663 -0.398
2.582 -1.910 10.472
-10.186 3.766 2.814
Ho Y Cd
6 12 2
direct
0.750 0.448 0.599
0.250 0.552 0.401
0.750 0.248 0.991
0.250 0.345 0.792
0.250 0.752 0.009
0.750 0.655 0.208
0.750 0.953 0.105
0.250 0.234 0.493
0.250 0.154 0.190
0.750 0.846 0.810
0.750 0.135 0.683
0.750 0.766 0.507
0.750 0.348 0.299
0.250 0.047 0.895
0.250 0.450 0.101
0.750 0.550 0.899
0.250 0.652 0.701
0.250 0.865 0.317
0.750 0.055 0.389
0.250 0.945 0.611

Record 21
YHo2Cd PBE optimized geometry; spin magnetization = 0.00 μB/f.u.; space group = P4/mmm; polymorph energy (0 for the lowest one) = 0.06 eV/f.u.; energy of formation from the pure elements = -144 meV per atom
1.0
3.581 0.000 0.000
0.000 3.581 0.000
0.000 0.000 9.037
Y Ho Cd
1 2 1
direct
0.500 0.500 0.500
0.000 0.000 0.774
0.000 0.000 0.226
0.500 0.500 0.000

Record 22
YHoZnCd PBE optimized geometry; spin magnetization = 0.00 μB/f.u.; space group = F-43m; polymorph energy (0 for the lowest one) = 0.07 eV/f.u.; energy of formation from the pure elements = -328 meV per atom
1.0
-1.007 0.057 5.078
3.356 -2.113 3.328
2.772 3.028 3.155
Ho Y Zn Cd
1 1 1 1
direct
0.250 0.250 0.250
0.750 0.750 0.750
0.000 0.000 0.000
0.500 0.500 0.500

Record 23
YHoZnCd PBE optimized geometry; spin magnetization = 0.00 μB/f.u.; space group = P4mm; polymorph energy (0 for the lowest one) = 0.00 eV/f.u.; energy of formation from the pure elements = -345 meV per atom
1.0
3.599 0.000 0.000
0.000 3.599 0.000
0.000 0.000 7.524
Cd Zn Y Ho
1 1 1 1
direct
0.000 0.000 0.854
0.000 0.000 0.361
0.500 0.500 0.126
0.500 0.500 0.588

Record 24
YbHoCd2 PBE optimized geometry; spin magnetization = 0.00 μB/f.u.; space group = Fm-3m; energy of formation from the pure elements = -363 meV per atom
1.0
-2.719 -4.513 -0.625
-0.762 -1.987 -4.860
2.517 -4.430 -1.480
Ho Cd Yb
1 2 1
direct
0.750 0.750 0.750
0.000 0.000 0.000
0.500 0.500 0.500
0.250 0.250 0.250

Electronic total energy for every record listed, in sequence, given in eV for the cell shown: -32.60, -28.76, -56.98, -63.41, -38.73, -41.02, -18.51, -50.09, -19.03, -18.52, -58.09, -96.31, -16.89, -25.53, -18.73, -18.67, -18.81, -20.35, -31.29, -107.22, -17.11, -14.54, -14.61, -9.39.